(1)
This record from Alexandria describes ScOs2RuPt after structural relaxation. The functional is PBE-GGA.

For the energy of formation from the pure elements, the calculation gives 2.126 eV per atom. The calculation puts the density of states at the Fermi level at 1.482 states/eV/atom.

The structure belongs to space group P4/mmm (No. 123); the cell edges are 4.6043, 4.6043 and 4.6117 Å and the angles 90.00°, 90.00° and 90.00°. Symmetry generates all atoms from Sc at (0.0000, 0.0000, 0.0000), Os at (0.0000, 0.5000, 0.0000), Ru at (0.5000, 0.5000, 0.5000) and Pt at (0.0000, 0.0000, 0.5000).



(2)
This record from Alexandria describes Ce4HOs after structural relaxation. The functional is PBE-GGA.

The calculation puts the density of states at the Fermi level at 1.908 states/eV/atom. The calculation puts the total energy at -6.5090 eV per atom.

The structure belongs to space group Cmc2_1 (No. 36); the cell edges are 4.5710, 17.0372 and 6.5029 Å and the angles 90.00°, 90.00° and 90.00°. Symmetry generates all atoms from Ce at (0.0000, 0.0403, 0.0000), Ce at (0.0000, 0.1834, 0.7438), Ce at (0.0000, 0.2164, 0.2315), Ce at (0.0000, 0.4337, 0.9386), H at (0.0000, 0.1017, 0.4475) and Os at (0.0000, 0.3593, 0.5211).



(3)
This record from Alexandria describes BaCdCu2 after structural relaxation. The functional is PBE-GGA.

For the energy of formation from the pure elements, the calculation gives 0.123 eV per atom. The calculation puts the density of states at the Fermi level at 0.681 states/eV/atom.

The structure belongs to space group Imm2 (No. 44); the cell edges are 4.4434, 6.0382 and 7.9030 Å and the angles 90.00°, 90.00° and 90.00°. Symmetry generates all atoms from Ba at (0.0000, 0.0000, 0.0000), Cd at (0.0000, 0.5000, 0.1719), Cu at (0.0000, 0.0000, 0.4501) and Cu at (0.0000, 0.5000, 0.8230).